Compound: Al2InRh
Source: Alexandria
Functional: PBE
Structure: relaxed

Properties
SG ... Immm (71)
Formation energy ... -6.3 kcal/mol of atoms
E_tot ... -4.667 eV per atom

abc: 6.090 6.090 6.090
angles: 152.61 135.25 53.27
Fractional coordinates of all 4 atoms:
Rh1 0.250 0.750 0.500
Al1 0.051 0.051 0.000
Al2 0.449 0.449 0.000
In1 0.750 0.250 0.500